1.
Compound: NiAgRu
Source: Alexandria
Functional: PBE
Structure: relaxed

Cell lengths 5.7933, 5.7933, 5.7933 Å; angles 90.00, 90.00, 90.00 degrees
With the nearest neighbours (Å) after each atom.
Space group F-43m (No. 216)
Asymmetric unit:
Ni (0.0000, 0.0000, 0.0000) [4 per cell]  4 Ru 2.51, 4 Ag 2.51
Ag (0.2500, 0.2500, 0.7500) [4 per cell]  4 Ni 2.51
Ru (0.2500, 0.2500, 0.2500) [4 per cell]  4 Ni 2.51

**ΔE to the lowest computed polymorph**: 464 meV/atom
**Energy**: -62.3 eV for the cell shown
**M_tot**: 5.7 Bohr magnetons per cell
**ΔH_f (0 K)**: 0.7798 eV/atom

---

2.
Compound: Ni2AgRu
Source: Alexandria
Functional: PBE
Structure: relaxed

Cell lengths 2.7488, 4.4807, 8.9313 Å; angles 90.00, 90.00, 90.00 degrees
With the nearest neighbours (Å) after each atom.
Space group Cmm2 (No. 35)
Asymmetric unit:
Ni (0.0000, 0.0000, 0.0000) [2 per cell]  6 Ni 2.41-2.63, 2 Ag 2.68
Ni (0.0000, 0.5000, 0.2218) [2 per cell]  6 Ni 2.41-2.63, 2 Ru 2.51
Ag (0.0000, 0.5000, 0.7418) [2 per cell]  6 Ag 2.63-2.75, 2 Ni 2.68, 2 Ru 2.89
Ru (0.0000, 0.0000, 0.4568) [2 per cell]  2 Ni 2.51, 6 Ru 2.63-2.75

**ΔE to the lowest computed polymorph**: 194 meV/atom
**Energy**: -44.2 eV for the cell shown
**M_tot**: 3.0 Bohr magnetons per cell
**ΔH_f (0 K)**: 0.3933 eV/atom